The following is a GGA-PBE calculation of a geometry-optimized Be2AlRe structure, from the Alexandria database.

Lattice parameters (Å, degrees): 2.6754 3.6424 4.9837 90.00 90.00 90.00
Space group Pmm2 (No. 25)
Inequivalent atoms, fractional coordinates:
Be 0.0000 0.0000 0.0000 (multiplicity 1)
Be 0.5000 0.5000 0.2451 (multiplicity 1)
Al 0.5000 0.5000 0.7488 (multiplicity 1)
Re 0.0000 0.0000 0.4787 (multiplicity 1)

Values from the calculation:
The crystal system is orthorhombic. The energy relative to the elements is 0.106 eV per atom.